InTcSbTe2: relaxed, PBE.

Properties
Its space-group type is P4/mmm. For the mass density, the calculation gives 5.546 Mg/m³. Its raw formation energy is 6.6 eV per formula unit. The calculation puts the calculated volume at 176.6 Å³/f.u. Its energy above the most stable polymorph in this dataset is 0.948 eV per atom. As for the total energy: -3.382 eV/atom.

Cell lengths 5.6547, 5.6547, 5.5223 Å; angles 90.00, 90.00, 90.00 degrees
With the nearest neighbours (Å) after each atom.
Positions (direct):
1 In 0.0000 0.0000 0.0000  2 Sb 2.76, 4 Te 2.83
2 Tc 0.5000 0.5000 0.5000  8 Te 3.95, 4 Sb 4.00
3 Sb 0.0000 0.0000 0.5000  2 In 2.76
4 Te 0.0000 0.5000 0.0000  2 In 2.83
5 Te 0.5000 0.0000 0.0000  2 In 2.83